Entry w
Below is crystalline NdTlCl4 at its relaxed geometry, with properties calculated at the GGA-PBE level.

Size of the total moment ... 0.0 μB/f.u.

abc: 7.1512 8.5543 11.0875
angles: 121.57 119.17 64.70
Element x y z (fractional)
Cl: 0.2113 0.4042 0.3518
Cl: 0.3596 0.0524 0.6482
Cl: 0.6404 0.9476 0.3518
Cl: 0.5216 0.2378 0.0927
Cl: 0.0712 0.8549 0.0927
Cl: 0.4784 0.7622 0.9073
Cl: 0.7887 0.5958 0.6482
Cl: 0.9288 0.1451 0.9073
Tl: 0.4325 0.6825 0.3650
Tl: 0.5675 0.3175 0.6350
Nd: 0.3194 0.0694 0.1388
Nd: 0.6806 0.9306 0.8612

---

Entry x
Below is crystalline NdTlCl4 at its relaxed geometry, with properties calculated at the GGA-PBE level.

Size of the total moment ... 0.0 μB/f.u.

abc: 7.1168 8.2387 8.2772
angles: 113.56 108.46 103.16
Element x y z (fractional)
Tl: 0.3872 0.6372 0.2743
Tl: 0.6128 0.3628 0.7257
Cl: 0.0031 0.2058 0.8806
Cl: 0.6225 0.3253 0.1194
Cl: 0.3775 0.6747 0.8806
Cl: 0.1959 0.2587 0.3151
Cl: 0.8041 0.7413 0.6849
Cl: 0.6192 0.0564 0.3151
Cl: 0.9969 0.7942 0.1194
Cl: 0.3808 0.9436 0.6849
Nd: 0.7572 0.0072 0.0144
Nd: 0.2428 0.9928 0.9856

---

Result of the stability comparison: entry w is the most stable of them.

---

Entry w
Below is crystalline Nd2TlCl at its relaxed geometry, with properties calculated at the GGA-PBE level.

Size of the total moment ... 0.0 μB/f.u.

abc: 4.0010 4.0010 8.5341
angles: 76.44 76.44 60.00
Element x y z (fractional)
Nd: 0.0696 0.0696 0.7911
Nd: 0.2635 0.2635 0.2095
Cl: 0.6672 0.6672 0.9985
Tl: 0.4997 0.4997 0.5009

---

Entry x
Below is crystalline Nd2TlCl at its relaxed geometry, with properties calculated at the GGA-PBE level.

Size of the total moment ... 0.0 μB/f.u.

abc: 4.0734 4.0734 8.2409
angles: 75.69 75.69 60.00
Element x y z (fractional)
Nd: 0.2622 0.2622 0.2134
Nd: 0.7378 0.7378 0.7866
Cl: 0.0000 0.0000 0.0000
Tl: 0.5000 0.5000 0.5000

---

Result of the stability comparison: entry x is the most stable of them.

---

Entry w
Below is crystalline Ni3Cl at its relaxed geometry, with properties calculated at the GGA-PBE level.

Size of the total moment ... 2.2 μB/f.u.

abc: 2.9001 2.9001 7.2063
angles: 90.00 90.00 120.00
Each line ends with the local moment (μB).
Element x y z (fractional)
Ni: 0.6667 0.3333 0.7430  0.72
Ni: 0.0000 0.0000 0.5000  0.75
Ni: 0.6667 0.3333 0.2570  0.72
Cl: 0.0000 0.0000 0.0000  0.13

---

Entry x
Below is crystalline Ni3Cl at its relaxed geometry, with properties calculated at the GGA-PBE level.

Size of the total moment ... 2.0 μB/f.u.

abc: 4.1434 4.1434 4.1434
angles: 60.00 60.00 60.00
Each line ends with the local moment (μB).
Element x y z (fractional)
Ni: 0.7500 0.7500 0.7500  0.63
Ni: 0.5000 0.5000 0.5000  0.76
Ni: 0.2500 0.2500 0.2500  0.63
Cl: 0.0000 0.0000 0.0000  0.08

---

Result of the stability comparison: entry w is the most stable of them.

---

Entry w
Below is crystalline Ni3Cl at its relaxed geometry, with properties calculated at the GGA-PBE level.

Size of the total moment ... 2.5 μB/f.u.

abc: 3.9544 4.7942 7.5895
angles: 90.00 90.00 90.00
Each line ends with the local moment (μB).
Element x y z (fractional)
Ni: 0.0000 0.5000 0.8055  0.78
Ni: 0.5000 0.7555 0.9167  0.86
Ni: 0.0000 0.7445 0.0833  0.86
Ni: 0.5000 0.2445 0.9167  0.86
Ni: 0.5000 0.0000 0.1945  0.78
Ni: 0.0000 0.2555 0.0833  0.86
Cl: 0.5000 0.5000 0.6401  0.10
Cl: 0.0000 0.0000 0.3599  0.10

---

Entry x
Below is crystalline Ni3Cl at its relaxed geometry, with properties calculated at the GGA-PBE level.

Size of the total moment ... 2.1 μB/f.u.

abc: 2.8969 3.0503 6.2556
angles: 90.01 90.00 90.00
Each line ends with the local moment (μB).
Element x y z (fractional)
Ni: 0.5000 0.0001 0.6982  0.65
Ni: 0.0000 0.5000 0.5000  0.76
Ni: 0.5000 0.9999 0.3018  0.65
Cl: 0.0000 0.0000 0.0000  0.06

---

Result of the stability comparison: entry x is the most stable of them.

---

Entry w
Below is crystalline Ni3Cl at its relaxed geometry, with properties calculated at the GGA-PBE level.

Size of the total moment ... 2.0 μB/f.u.

abc: 3.6729 3.6729 3.6729
angles: 90.00 90.00 90.00
Each line ends with the local moment (μB).
Element x y z (fractional)
Cl: 0.0000 0.0000 0.0000  0.07
Ni: 0.0000 0.5000 0.5000  0.68
Ni: 0.5000 0.0000 0.5000  0.68
Ni: 0.5000 0.5000 0.0000  0.68

---

Entry x
Below is crystalline Ni3Cl at its relaxed geometry, with properties calculated at the GGA-PBE level.

Size of the total moment ... 2.2 μB/f.u.

abc: 2.9532 2.9532 6.0089
angles: 90.00 90.00 90.00
Each line ends with the local moment (μB).
Element x y z (fractional)
Ni: 0.0000 0.0000 0.5000  0.78
Ni: 0.5000 0.5000 0.7109  0.73
Ni: 0.5000 0.5000 0.2891  0.73
Cl: 0.0000 0.0000 0.0000  0.07

---

Result of the stability comparison: entry x is the most stable of them.

---

Entry w
Below is crystalline Ni3Cl at its relaxed geometry, with properties calculated at the GGA-PBE level.

Size of the total moment ... 2.2 μB/f.u.

abc: 2.8489 2.8489 7.5238
angles: 79.01 79.01 59.83
Each line ends with the local moment (μB).
Element x y z (fractional)
Ni: 0.5000 0.5000 0.5000  0.76
Ni: 0.2505 0.2505 0.2513  0.71
Ni: 0.7495 0.7495 0.7487  0.71
Cl: 0.0000 0.0000 0.0000  0.13

---

Entry x
Below is crystalline Ni3Cl at its relaxed geometry, with properties calculated at the GGA-PBE level.

Size of the total moment ... 1.6 μB/f.u.

abc: 4.8999 4.8999 4.8999
angles: 147.29 128.37 62.47
Each line ends with the local moment (μB).
Element x y z (fractional)
Ni: 0.5000 0.5000 0.0000  0.47
Ni: 0.7621 0.2621 0.5000  0.55
Ni: 0.2379 0.7379 0.5000  0.55
Cl: 0.0000 0.0000 0.0000  0.08

---

Result of the stability comparison: entry w is the most stable of them.

---

Entry w
Below is crystalline Ni3Cl at its relaxed geometry, with properties calculated at the GGA-PBE level.

Size of the total moment ... 2.1 μB/f.u.

abc: 5.2536 5.2536 3.9773
angles: 90.00 90.00 98.92
Each line ends with the local moment (μB).
Element x y z (fractional)
Ni: 0.2546 0.0922 0.2500  0.76
Ni: 0.7940 0.2060 0.2500  0.61
Ni: 0.0922 0.2546 0.7500  0.76
Ni: 0.7454 0.9078 0.7500  0.76
Ni: 0.2060 0.7940 0.7500  0.61
Ni: 0.9078 0.7454 0.2500  0.76
Cl: 0.6461 0.3539 0.7500  0.08
Cl: 0.3539 0.6461 0.2500  0.08

---

Entry x
Below is crystalline Ni3Cl at its relaxed geometry, with properties calculated at the GGA-PBE level.

Size of the total moment ... 1.6 μB/f.u.

abc: 4.3288 4.3288 2.7784
angles: 90.00 90.00 107.67
Each line ends with the local moment (μB).
Element x y z (fractional)
Ni: 0.5000 0.0000 0.5000  0.53
Ni: 0.0000 0.5000 0.5000  0.53
Ni: 0.5000 0.5000 0.0000  0.57
Cl: 0.0000 0.0000 0.0000  0.07

---

Result of the stability comparison: entry w is the most stable of them.

---

Entry w
Below is crystalline Ni3Cl at its relaxed geometry, with properties calculated at the GGA-PBE level.

Size of the total moment ... 2.3 μB/f.u.

abc: 2.8443 2.9575 6.5258
angles: 90.00 90.00 90.00
Each line ends with the local moment (μB).
Element x y z (fractional)
Ni: 0.5000 0.5000 0.7929  0.76
Ni: 0.5000 0.0000 0.5163  0.78
Ni: 0.0000 0.5000 0.3233  0.71
Cl: 0.0000 0.0000 0.0342  0.10

---

Entry x
Below is crystalline Ni3Cl at its relaxed geometry, with properties calculated at the GGA-PBE level.

Size of the total moment ... 1.8 μB/f.u.

abc: 4.6719 4.6719 4.6719
angles: 90.00 90.00 90.00
Each line ends with the local moment (μB).
Element x y z (fractional)
Cl: 0.0000 0.0000 0.0000  0.07
Cl: 0.5000 0.5000 0.5000  0.07
Ni: 0.0000 0.2500 0.5000  0.61
Ni: 0.5000 0.0000 0.7500  0.61
Ni: 0.5000 0.0000 0.2500  0.61
Ni: 0.7500 0.5000 0.0000  0.61
Ni: 0.2500 0.5000 0.0000  0.61
Ni: 0.0000 0.7500 0.5000  0.61

---

Result of the stability comparison: entry w is the most stable of them.